Below is a relaxed structure of ZnTcSe2, with properties calculated at the PBE level.

It has space group R3m (No. 160, hexagonal axes), with a = 3.0456 Å, b = 3.0456 Å, c = 29.3402 Å, α = 90.00°, β = 90.00° and γ = 120.00°. The inequivalent atoms are Zn at (0.0000, 0.0000, 0.0000), Tc at (0.0000, 0.0000, 0.2612), Se at (0.0000, 0.0000, 0.5367) and Se at (0.0000, 0.0000, 0.7436).

The value obtained for the raw formation energy is -19 meV per atom. The magnetic moment comes out at 0.8 μB per cell. The density of states at the Fermi level is 2.327 states/eV/f.u. For the energy relative to the lowest polymorph listed for this composition, the calculation gives 25.2 kJ/mol of atoms.